VASP calculation (GGA-PBE) on LiLuAg2 after structural relaxation.

a b c (Å): 3.4566 3.4566 6.5847
angles (deg): 90.00 90.00 90.00
Positions (direct):
Lu (0.5000, 0.5000, 0.5000)
Ag (0.0000, 0.0000, 0.2231)
Ag (0.0000, 0.0000, 0.7769)
Li (0.5000, 0.5000, 0.0000)

- Size of the total moment: 0.000 μB/f.u.
- Formation enthalpy at 0 K: -0.25 eV/atom
- Density of states at the Fermi level: 2.70 states/eV per cell
- SG: No. 123
- Calculated volume: 19.67 Å³ per atom